(1)
Density functional theory data (PBE-GGA) for crystalline InNiRu at its relaxed geometry.

## Properties
VASP energy	-5.784	eV per atom

a = 4.4680 Å, b = 4.9894 Å, c = 4.9894 Å
α = 55.55°, β = 90.00°, γ = 90.00°
Last column: nearest neighbours and their distance in Å.
Atoms (fractional coordinates):
In (0.2500, 0.2026, 0.7974)  5 Ni 2.67-2.97, 4 Ru 2.72-2.85, 2 In 2.92
In (0.7500, 0.7974, 0.2026)  5 Ni 2.67-2.97, 4 Ru 2.72-2.85, 2 In 2.92
Ni (0.2500, 0.8427, 0.5179)  4 Ru 2.58-2.64, 4 In 2.67-2.83, 2 Ni 2.70
Ni (0.7500, 0.5179, 0.8427)  4 Ru 2.58-2.64, 4 In 2.67-2.83, 2 Ni 2.70
Ru (0.2500, 0.4773, 0.1461)  4 Ni 2.58-2.64, 2 Ru 2.71, 4 In 2.72-2.85
Ru (0.7500, 0.1461, 0.4773)  4 Ni 2.58-2.64, 2 Ru 2.71, 4 In 2.72-2.85

***

(2)
Density functional theory data (PBE-GGA) for crystalline In2Ni2Ru at its relaxed geometry.

## Properties
VASP energy	-4.804	eV per atom

a = 5.0198 Å, b = 5.0198 Å, c = 5.0198 Å
α = 122.75°, β = 122.75°, γ = 85.29°
Last column: nearest neighbours and their distance in Å.
Atoms (fractional coordinates):
In (0.2500, 0.7500, 0.5000)  4 Ni 2.52
In (0.7500, 0.2500, 0.5000)  4 Ni 2.52
Ni (0.1490, 0.1490, 0.0000)  1 Ni 2.20
Ni (0.8510, 0.8510, 0.0000)  1 Ni 2.20
Ru (0.5000, 0.5000, 0.0000)  2 Ni 2.59

***

(3)
Density functional theory data (PBE-GGA) for crystalline InNiRu2 at its relaxed geometry.

## Properties
VASP energy	-6.383	eV per atom

a = 8.7446 Å, b = 8.7446 Å, c = 8.7446 Å
α = 18.72°, β = 18.72°, γ = 18.72°
Last column: nearest neighbours and their distance in Å.
Atoms (fractional coordinates):
In (0.0000, 0.0000, 0.0000)  6 In 2.84, 6 Ru 2.85
Ni (0.5000, 0.5000, 0.5000)  6 Ru 2.56, 6 Ni 2.84
Ru (0.2431, 0.2431, 0.2431)  3 Ni 2.56, 6 Ru 2.84, 3 In 2.85
Ru (0.7569, 0.7569, 0.7569)  3 Ni 2.56, 6 Ru 2.84, 3 In 2.85

***

(4)
Density functional theory data (PBE-GGA) for crystalline InNiRu2 at its relaxed geometry.

## Properties
VASP energy	-6.603	eV per atom

a = 4.6815 Å, b = 4.6815 Å, c = 4.7592 Å
α = 99.57°, β = 99.57°, γ = 35.55°
Last column: nearest neighbours and their distance in Å.
Atoms (fractional coordinates):
In (0.0000, 0.0000, 0.0000)  3 Ni 2.63-2.73, 7 Ru 2.77-2.91, 2 In 2.86
Ni (0.2479, 0.2479, 0.7693)  5 Ru 2.59-2.78, 3 In 2.63-2.73, 2 Ni 2.86
Ru (0.5022, 0.5022, 0.5034)  5 Ru 2.59-2.86, 3 Ni 2.73-2.78, 4 In 2.77-2.79
Ru (0.7584, 0.7584, 0.3193)  5 Ru 2.59-2.86, 2 Ni 2.59, 1 In 2.84